The following is a DFT calculation (PBE) of a relaxed Ce3Cu crystal.

Lattice parameters (Å, degrees): 4.5718 4.5718 4.5718 90.00 90.00 90.00
Element x y z (fractional)
Ce  0.0000  0.5000  0.5000
Ce  0.5000  0.0000  0.5000
Ce  0.5000  0.5000  0.0000
Cu  0.0000  0.0000  0.0000

Summary:
crystal system: cubic
energy of formation: 0.15 eV/atom
V: 23.89 A^3/atom
symmetry: Pm-3m
spin magnetization: 1.99 μB per formula unit